Cr2CoGe2 | PBE | relaxed

The structure in POSCAR format:
```
Cr2CoGe2
1.0
6.1271 0.0000 0.0000
0.0000 6.1271 0.0000
0.0000 0.0000 3.6726
Cr Co Ge
4 2 4
Direct
0.1615 0.3385 0.0000 Cr
0.3385 0.8385 0.0000 Cr
0.6615 0.1615 0.0000 Cr
0.8385 0.6615 0.0000 Cr
0.0000 0.0000 0.5000 Co
0.5000 0.5000 0.5000 Co
0.1458 0.6458 0.5000 Ge
0.3542 0.1458 0.5000 Ge
0.6458 0.8542 0.5000 Ge
0.8542 0.3542 0.5000 Ge
```

Properties
- formation enthalpy at 0 K (meV per atom) = 108

=====

Ac8Ni3SnI4 | PBE | relaxed

The structure in POSCAR format:
```
Ac8Ni3SnI4
1.0
4.5192 2.6092 8.4774
-4.5192 2.6092 8.4774
0.0000 -5.2184 8.4774
Ac Ni Sn I
8 3 1 4
Direct
0.2056 0.7424 0.7424 Ac
0.2292 0.2292 0.2292 Ac
0.2576 0.2576 0.7944 Ac
0.2576 0.7944 0.2576 Ac
0.7424 0.2056 0.7424 Ac
0.7424 0.7424 0.2056 Ac
0.7708 0.7708 0.7708 Ac
0.7944 0.2576 0.2576 Ac
0.0000 0.0000 0.5000 Ni
0.0000 0.5000 0.0000 Ni
0.5000 0.0000 0.0000 Ni
0.5000 0.5000 0.5000 Sn
0.0000 0.0000 0.0000 I
0.0000 0.5000 0.5000 I
0.5000 0.0000 0.5000 I
0.5000 0.5000 0.0000 I
```

Properties
- formation energy without anion corrections (eV per atom) = -0.702

=====

Pm2Sm3Ho6 | PBE | relaxed

The structure in POSCAR format:
```
Pm2Sm3Ho6
1.0
3.0721 -5.3307 0.0000
3.0721 5.3307 0.0000
-2.0657 0.0000 11.4837
Pm Sm Ho
2 3 6
Direct
0.1666 0.8334 0.0000 Pm
0.8334 0.1666 0.0000 Pm
0.0000 0.0000 0.5000 Sm
0.3357 0.6643 0.5000 Sm
0.6643 0.3357 0.5000 Sm
0.0835 0.4167 0.7501 Ho
0.2502 0.2502 0.2501 Ho
0.4167 0.0835 0.7501 Ho
0.5833 0.9165 0.2499 Ho
0.7498 0.7498 0.7499 Ho
0.9165 0.5833 0.2499 Ho
```

Properties
- formation enthalpy at 0 K (meV per atom) = 188

=====

Na10B17C3 | PBE | relaxed

The structure in POSCAR format:
```
Na10B17C3
1.0
11.7804 -1.4144 0.0000
11.7804 1.4144 0.0000
-2.7552 0.0000 9.8291
Na B C
10 17 3
Direct
0.0000 0.0000 0.0000 Na
0.1004 0.1004 0.7001 Na
0.2013 0.2013 0.3990 Na
0.2998 0.2998 0.0987 Na
0.3977 0.3977 0.7977 Na
0.5001 0.5001 0.4973 Na
0.6012 0.6012 0.2008 Na
0.7004 0.7004 0.8988 Na
0.7999 0.7999 0.5974 Na
0.8992 0.8992 0.3009 Na
0.0224 0.0224 0.2940 B
0.0850 0.0850 0.4177 B
0.1229 0.1229 0.9936 B
0.1886 0.1886 0.1257 B
0.2125 0.2125 0.6727 B
0.2773 0.2773 0.8034 B
0.3192 0.3192 0.3886 B
0.3848 0.3848 0.5193 B
0.4187 0.4187 0.0878 B
0.4811 0.4811 0.2130 B
0.5174 0.5174 0.7840 B
0.5804 0.5804 0.9091 B
0.6246 0.6246 0.4968 B
0.7788 0.7788 0.3073 B
0.8154 0.8154 0.8804 B
0.8789 0.8789 0.0072 B
0.9744 0.9744 0.6982 B
0.6830 0.6830 0.6135 C
0.7193 0.7193 0.1881 C
0.9164 0.9164 0.5823 C
```

Properties
- formation enthalpy at 0 K (meV per atom) = 210

=====

TbSmIn2 | PBE | relaxed

The structure in POSCAR format:
```
TbSmIn2
1.0
3.7486 0.0000 0.0000
-1.8743 3.2464 0.0000
0.0000 0.0000 29.2675
Tb Sm In
3 3 6
Direct
0.0000 0.0000 0.0000 Tb
0.3333 0.6667 0.6667 Tb
0.6667 0.3333 0.3333 Tb
0.0000 0.0000 0.5000 Sm
0.3333 0.6667 0.1667 Sm
0.6667 0.3333 0.8333 Sm
0.0000 0.0000 0.2511 In
0.0000 0.0000 0.7489 In
0.3333 0.6667 0.4156 In
0.3333 0.6667 0.9178 In
0.6667 0.3333 0.0822 In
0.6667 0.3333 0.5844 In
```

Properties
- formation enthalpy at 0 K (meV per atom) = -323

=====

Na2ZrCrS4 | PBE | relaxed

The structure in POSCAR format:
```
Na2ZrCrS4
1.0
6.3499 0.0000 0.0000
0.0000 3.6938 0.0000
-2.1038 0.0000 6.6615
Na Zr Cr S
2 1 1 4
Direct
0.0000 0.0000 0.0000 Na
0.5000 0.5000 0.0000 Na
0.0000 0.5000 0.5000 Zr
0.5000 0.0000 0.5000 Cr
0.2506 0.0000 0.7174 S
0.2728 0.5000 0.2916 S
0.7272 0.5000 0.7084 S
0.7494 0.0000 0.2826 S
```

Properties
- formation energy without anion corrections (eV per atom) = -1.192